Record 1
A relaxed CrOs2W crystal, computed with GGA-PBE.

Output
SG: Cm
Total magnetization: 0.004 μB per formula unit
Density of states at the Fermi level: 0.846 states/eV/atom
ΔE to the lowest computed polymorph: 0.0480 eV per atom
Volume: 57 Å³/cell

Lattice parameters (Å, degrees): 4.724 4.724 4.702 80.63 80.63 33.76
Element x y z (fractional)
Cr 0.256 0.256 0.235
Os 0.001 0.001 0.002
Os 0.745 0.745 0.763
W 0.498 0.498 0.499

Record 2
A relaxed LaPbSe2 crystal, computed with GGA-PBE.

Output
SG: Imm2
Formation energy from raw total energies: -1.219 eV per atom
Total magnetization: 0.000 μB per formula unit
Density of states at the Fermi level: 0.555 states/eV/atom
Volume: 121 Å³/cell

Lattice parameters (Å, degrees): 7.711 7.711 7.711 149.80 148.31 44.34
Element x y z (fractional)
La 0.542 0.542 0.000
Pb 0.274 0.774 0.500
Se 0.979 0.979 0.000
Se 0.705 0.205 0.500

Record 3
A relaxed ZrFeSe2 crystal, computed with GGA-PBE.

Output
SG: Amm2
Formation energy from raw total energies: -0.638 eV per atom
Total magnetization: 2.041 μB per formula unit
Density of states at the Fermi level: 0.686 states/eV/atom
ΔE to the lowest computed polymorph: 0.0399 eV per atom
Volume: 91 Å³/cell

Lattice parameters (Å, degrees): 3.929 3.463 6.888 75.47 90.00 90.00
Element x y z (fractional)
Fe 0.500 0.959 0.707
Se 0.000 0.869 0.888
Se 0.500 0.136 0.353
Zr 0.000 0.537 0.552

Record 4
A relaxed Er2UTe6 crystal, computed with GGA-PBE.

Output
SG: P4_2/mnm
Formation energy from raw total energies: -0.842 eV per atom
Total magnetization: 0.456 μB per formula unit
Density of states at the Fermi level: 0.629 states/eV/atom
Volume: 678 Å³/cell

Lattice parameters (Å, degrees): 7.210 7.210 13.042 90.00 90.00 90.00
Element x y z (fractional)
Er 0.000 0.000 0.335
Er 0.500 0.500 0.835
Er 0.500 0.500 0.165
Er 0.000 0.000 0.665
U 0.000 0.000 0.000
U 0.500 0.500 0.500
Te 0.300 0.300 0.338
Te 0.700 0.700 0.338
Te 0.200 0.800 0.838
Te 0.800 0.200 0.838
Te 0.200 0.800 0.162
Te 0.800 0.200 0.162
Te 0.300 0.300 0.662
Te 0.700 0.700 0.662
Te 0.292 0.292 0.000
Te 0.708 0.708 0.000
Te 0.208 0.792 0.500
Te 0.792 0.208 0.500

Record 5
A relaxed Sr2As2Br crystal, computed with GGA-PBE.

Output
SG: I4/mmm
Formation energy from raw total energies: -1.022 eV per atom
Total magnetization: 0.000 μB per formula unit
Density of states at the Fermi level: 0.278 states/eV/atom
ΔE to the lowest computed polymorph: 0.1734 eV per atom
Volume: 154 Å³/cell

Lattice parameters (Å, degrees): 4.242 4.242 9.044 76.44 76.44 90.00
Element x y z (fractional)
Sr 0.379 0.379 0.242
Sr 0.621 0.621 0.758
As 0.750 0.250 0.500
As 0.250 0.750 0.500
Br 0.000 0.000 0.000

Record 6
A relaxed HgPb7Au4 crystal, computed with GGA-PBE.

Output
SG: C2/m
Final energy: -39.17 eV for the cell shown
Total magnetization: 0.000 μB per formula unit
Density of states at the Fermi level: 0.495 states/eV/atom
Volume: 329 Å³/cell

Lattice parameters (Å, degrees): 5.849 8.872 7.567 68.48 67.26 70.75
Element x y z (fractional)
Hg 0.000 0.000 0.000
Pb 0.791 0.897 0.521
Pb 0.209 0.103 0.479
Pb 0.066 0.609 0.259
Pb 0.934 0.391 0.741
Pb 0.285 0.674 0.757
Pb 0.500 0.000 0.000
Pb 0.715 0.326 0.243
Au 0.507 0.327 0.659
Au 0.493 0.673 0.341
Au 0.702 0.667 0.929
Au 0.298 0.333 0.071

Record 7
A relaxed Pm4Tm3Th crystal, computed with GGA-PBE.

Output
SG: Pmn2_1
Total magnetization: 0.001 μB per formula unit
Density of states at the Fermi level: 1.810 states/eV/atom
ΔE to the lowest computed polymorph: 0.0000 eV per atom
Volume: 526 Å³/cell

Lattice parameters (Å, degrees): 6.262 7.307 11.484 90.00 90.00 90.00
Element x y z (fractional)
Pm 0.140 0.866 0.000
Pm 0.647 0.136 0.000
Pm 0.991 0.129 0.250
Pm 0.491 0.871 0.250
Pm 0.147 0.864 0.500
Pm 0.640 0.134 0.500
Pm 0.491 0.871 0.750
Pm 0.991 0.129 0.750
Tm 0.648 0.619 0.000
Tm 0.975 0.616 0.250
Tm 0.475 0.384 0.250
Tm 0.148 0.381 0.500
Tm 0.475 0.384 0.750
Tm 0.975 0.616 0.750
Th 0.147 0.380 0.000
Th 0.647 0.620 0.500

Record 8
A relaxed LiFe2Ir crystal, computed with GGA-PBE.

Output
SG: Pmm2
Final energy: -27.28 eV for the cell shown
Total magnetization: 5.303 μB per formula unit
Density of states at the Fermi level: 1.172 states/eV/atom
Volume: 51 Å³/cell

Lattice parameters (Å, degrees): 2.637 3.696 5.190 90.00 90.00 90.00
Element x y z (fractional)
Fe 0.000 0.000 0.996
Fe 0.500 0.500 0.255
Ir 0.000 0.000 0.497
Li 0.500 0.500 0.753

Record 9
A relaxed PaGa3Pd2 crystal, computed with GGA-PBE.

Output
SG: Immm
Total magnetization: 0.000 μB per formula unit
Density of states at the Fermi level: 0.717 states/eV/atom
ΔE to the lowest computed polymorph: 0.0000 eV per atom
Volume: 224 Å³/cell

Lattice parameters (Å, degrees): 4.233 7.801 8.097 118.80 105.15 90.00
Element x y z (fractional)
Pa 0.130 0.130 0.260
Pa 0.870 0.870 0.740
Ga 0.672 0.472 0.343
Ga 0.000 0.347 0.000
Ga 0.328 0.129 0.657
Ga 0.672 0.871 0.343
Ga 0.000 0.653 0.000
Ga 0.328 0.528 0.657
Pd 0.500 0.169 0.000
Pd 0.500 0.831 0.000
Pd 0.206 0.706 0.411
Pd 0.794 0.294 0.589

Record 10
A relaxed K2NaCeI6 crystal, computed with GGA-PBE.

Output
SG: Fm-3m
Formation energy from raw total energies: -1.319 eV per atom
Total magnetization: 1.000 μB per formula unit
Density of states at the Fermi level: 0.814 states/eV/atom
ΔE to the lowest computed polymorph: 0.0709 eV per atom
Volume: 484 Å³/cell

Lattice parameters (Å, degrees): 8.814 8.814 8.814 60.00 60.00 60.00
Element x y z (fractional)
K 0.750 0.750 0.750
K 0.250 0.250 0.250
Na 0.500 0.500 0.500
Ce 0.000 0.000 0.000
I 0.750 0.250 0.250
I 0.250 0.250 0.750
I 0.250 0.750 0.750
I 0.250 0.750 0.250
I 0.750 0.250 0.750
I 0.750 0.750 0.250

Record 11
A relaxed YInNiIr crystal, computed with GGA-PBE.

Output
SG: F-43m
Final energy: -25.52 eV for the cell shown
Total magnetization: 0.000 μB per formula unit
Density of states at the Fermi level: 0.721 states/eV/atom
Volume: 73 Å³/cell

Lattice parameters (Å, degrees): 4.688 4.688 4.688 60.00 60.00 60.00
Element x y z (fractional)
Y 0.750 0.750 0.750
Ni 0.000 0.000 0.000
Ir 0.500 0.500 0.500
In 0.250 0.250 0.250

Record 12
A relaxed TaGaCu crystal, computed with GGA-PBE.

Output
SG: R-3m
Final energy: -36.45 eV for the cell shown
Total magnetization: 0.000 μB per formula unit
Density of states at the Fermi level: 0.570 states/eV/atom
Volume: 101 Å³/cell

Lattice parameters (Å, degrees): 4.430 4.430 6.454 69.93 69.93 60.00
Element x y z (fractional)
Cu 0.286 0.286 0.143
Cu 0.714 0.714 0.857
Ta 0.135 0.135 0.594
Ta 0.865 0.865 0.406
Ga 0.423 0.423 0.731
Ga 0.577 0.577 0.269

Record 13
A relaxed K2ZnOs2 crystal, computed with GGA-PBE.

Output
SG: I4/mmm
Total magnetization: 4.439 μB per formula unit
Density of states at the Fermi level: 0.795 states/eV/atom
ΔE to the lowest computed polymorph: 0.7558 eV per atom
Volume: 163 Å³/cell

Lattice parameters (Å, degrees): 6.614 6.614 5.981 56.44 56.44 90.00
Element x y z (fractional)
Zn 0.000 0.000 0.000
Os 0.348 0.348 0.304
Os 0.652 0.652 0.696
K 0.750 0.250 0.500
K 0.250 0.750 0.500

Record 14
A relaxed Na2LiSn9 crystal, computed with GGA-PBE.

Output
SG: P4/mmm
Final energy: -42.03 eV for the cell shown
Total magnetization: 0.000 μB per formula unit
Density of states at the Fermi level: 0.374 states/eV/atom
Volume: 313 Å³/cell

Lattice parameters (Å, degrees): 4.707 4.707 14.107 90.00 90.00 90.00
Element x y z (fractional)
Na 0.000 0.000 0.331
Na 0.000 0.000 0.669
Li 0.000 0.000 0.000
Sn 0.500 0.500 0.000
Sn 0.500 0.500 0.331
Sn 0.500 0.500 0.669
Sn 0.500 0.000 0.161
Sn 0.500 0.000 0.500
Sn 0.500 0.000 0.839
Sn 0.000 0.500 0.161
Sn 0.000 0.500 0.500
Sn 0.000 0.500 0.839

Record 15
A relaxed Ba6Pt2I2N crystal, computed with GGA-PBE.

Output
SG: C2/m
Formation energy from raw total energies: -0.897 eV per atom
Total magnetization: 0.307 μB per formula unit
Density of states at the Fermi level: 0.617 states/eV/atom
Volume: 451 Å³/cell

Lattice parameters (Å, degrees): 7.810 7.810 8.945 99.22 99.22 119.43
Element x y z (fractional)
Ba 0.765 0.765 0.681
Ba 0.068 0.372 0.691
Ba 0.235 0.235 0.319
Ba 0.372 0.068 0.691
Ba 0.932 0.628 0.309
Ba 0.628 0.932 0.309
Pt 0.330 0.670 0.500
Pt 0.670 0.330 0.500
I 0.831 0.169 0.000
I 0.169 0.831 0.000
N 0.000 0.000 0.500

Record 16
A relaxed Ca5Zn4Sn crystal, computed with GGA-PBE.

Output
SG: P4/mmm
Final energy: -22.31 eV for the cell shown
Total magnetization: 0.000 μB per formula unit
Density of states at the Fermi level: 0.703 states/eV/atom
Volume: 256 Å³/cell

Lattice parameters (Å, degrees): 3.686 3.686 18.813 90.00 90.00 90.00
Element x y z (fractional)
Ca 0.500 0.500 0.110
Ca 0.500 0.500 0.305
Ca 0.500 0.500 0.500
Ca 0.500 0.500 0.695
Ca 0.500 0.500 0.890
Zn 0.000 0.000 0.209
Zn 0.000 0.000 0.403
Zn 0.000 0.000 0.597
Zn 0.000 0.000 0.791
Sn 0.000 0.000 0.000

Record 17
A relaxed CdHg2Se crystal, computed with GGA-PBE.

Output
SG: Imm2
Formation energy from raw total energies: -0.033 eV per atom
Total magnetization: 0.000 μB per formula unit
Density of states at the Fermi level: 0.359 states/eV/atom
Volume: 108 Å³/cell

Lattice parameters (Å, degrees): 5.608 5.608 5.608 137.02 110.90 84.93
Element x y z (fractional)
Cd 0.268 0.768 0.500
Hg 0.009 0.009 0.000
Hg 0.744 0.244 0.500
Se 0.479 0.479 0.000

Record 18
A relaxed Ca4Sb2S crystal, computed with GGA-PBE.

Output
SG: I4/mmm
Formation energy from raw total energies: -1.256 eV per atom
Total magnetization: 0.000 μB per formula unit
ΔE to the lowest computed polymorph: 0.0191 eV per atom
Volume: 219 Å³/cell

Lattice parameters (Å, degrees): 5.164 5.164 8.985 106.70 106.70 90.00
Element x y z (fractional)
Sb 0.635 0.635 0.270
Sb 0.365 0.365 0.730
Ca 0.824 0.824 0.649
Ca 0.176 0.176 0.351
Ca 0.000 0.500 0.000
Ca 0.500 0.000 0.000
S 0.000 0.000 0.000

Record 19
A relaxed TlSiRu2 crystal, computed with GGA-PBE.

Output
SG: R3m
Formation energy from raw total energies: 0.393 eV per atom
Total magnetization: 0.317 μB per formula unit
Density of states at the Fermi level: 0.903 states/eV/atom
ΔE to the lowest computed polymorph: 0.4183 eV per atom
Volume: 67 Å³/cell

Lattice parameters (Å, degrees): 8.823 8.823 8.823 19.46 19.46 19.46
Element x y z (fractional)
Ru 0.992 0.992 0.992
Ru 0.245 0.245 0.245
Si 0.513 0.513 0.513
Tl 0.749 0.749 0.749

Record 20
A relaxed PmNdPt2 crystal, computed with GGA-PBE.

Output
SG: P4/mmm
Total magnetization: 0.000 μB per formula unit
Density of states at the Fermi level: 0.766 states/eV/atom
ΔE to the lowest computed polymorph: 0.1029 eV per atom
Volume: 93 Å³/cell

Lattice parameters (Å, degrees): 3.550 5.120 5.120 90.00 90.00 90.00
Element x y z (fractional)
Nd 0.500 0.000 0.000
Pt 0.000 0.000 0.500
Pt 0.000 0.500 0.000
Pm 0.500 0.500 0.500

Record 21
A relaxed CaPmGeN3 crystal, computed with GGA-PBE.

Output
SG: P2_1/m
Formation energy from raw total energies: -0.766 eV per atom
Total magnetization: 0.000 μB per formula unit
Volume: 171 Å³/cell

Lattice parameters (Å, degrees): 3.313 6.006 8.609 91.19 90.00 90.00
Element x y z (fractional)
Ca 0.750 0.729 0.672
Ca 0.250 0.271 0.328
Pm 0.250 0.752 0.034
Pm 0.750 0.248 0.966
Ge 0.250 0.239 0.677
Ge 0.750 0.761 0.323
N 0.250 0.743 0.443
N 0.750 0.997 0.178
N 0.750 0.518 0.173
N 0.750 0.257 0.557
N 0.250 0.482 0.827
N 0.250 0.003 0.822

Record 22
A relaxed Li2TmMg2Tl2 crystal, computed with GGA-PBE.

Output
SG: R-3m
Final energy: -17.64 eV for the cell shown
Total magnetization: 0.000 μB per formula unit
Density of states at the Fermi level: 0.577 states/eV/atom
Volume: 158 Å³/cell

Lattice parameters (Å, degrees): 4.819 4.819 8.355 73.24 73.24 60.00
Element x y z (fractional)
Li 0.584 0.584 0.248
Li 0.416 0.416 0.752
Tm 0.000 0.000 0.000
Mg 0.135 0.135 0.594
Mg 0.865 0.865 0.406
Tl 0.735 0.735 0.795
Tl 0.265 0.265 0.205

Record 23
A relaxed Ba2CoSnOs crystal, computed with GGA-PBE.

Output
SG: P4/mmm
Final energy: -20.47 eV for the cell shown
Total magnetization: 2.563 μB per formula unit
Density of states at the Fermi level: 1.635 states/eV/atom
Volume: 212 Å³/cell

Lattice parameters (Å, degrees): 6.545 6.545 4.939 90.00 90.00 90.00
Element x y z (fractional)
Co 0.500 0.500 0.500
Os 0.000 0.000 0.500
Ba 0.000 0.500 0.000
Ba 0.500 0.000 0.000
Sn 0.000 0.000 0.000

Record 24
A relaxed SbMo3As crystal, computed with GGA-PBE.

Output
SG: Pm-3m
Formation energy from raw total energies: 1.033 eV per atom
Total magnetization: 1.096 μB per formula unit
Density of states at the Fermi level: 1.597 states/eV/atom
ΔE to the lowest computed polymorph: 0.0000 eV per atom
Volume: 100 Å³/cell

Lattice parameters (Å, degrees): 4.647 4.647 4.647 90.00 90.00 90.00
Element x y z (fractional)
Sb 0.500 0.500 0.500
Mo 0.000 0.500 0.000
Mo 0.000 0.000 0.500
Mo 0.500 0.000 0.000
As 0.000 0.000 0.000

Record 25
A relaxed Na2LiCl4 crystal, computed with GGA-PBE.

Output
SG: I4/mmm
Formation energy from raw total energies: -1.341 eV per atom
Total magnetization: 1.056 μB per formula unit
Density of states at the Fermi level: 1.149 states/eV/atom
Volume: 166 Å³/cell

Lattice parameters (Å, degrees): 4.871 4.871 7.815 71.84 71.84 90.00
Element x y z (fractional)
Na 0.624 0.624 0.753
Na 0.376 0.376 0.247
Li 0.000 0.000 0.000
Cl 0.814 0.814 0.371
Cl 0.186 0.186 0.629
Cl 0.000 0.500 0.000
Cl 0.500 0.000 0.000